Here is crystalline Y7Se at its relaxed geometry from the Alexandria database. Energies are from PBE.

Cell lengths 6.9375, 6.9375, 6.9375 Å; angles 60.00, 60.00, 60.00 degrees
Positions (direct):
1 Y 0.0000 0.0000 0.5000
2 Y 0.5000 0.0000 0.0000
3 Y 0.5000 0.0000 0.5000
4 Se 0.0000 0.0000 0.0000
5 Y 0.0000 0.5000 0.5000
6 Y 0.0000 0.5000 0.0000
7 Y 0.5000 0.5000 0.0000
8 Y 0.5000 0.5000 0.5000

## Properties
- E: -6.226 eV per atom
- ΔE_f (raw): -0.13 eV/atom
- Space group: Fm-3m, No. 225